## LiVAs2O6 (GGA+U)

Data for a geometry-optimized LiVAs2O6 structure.

Total magnetic moment, μB/f.u.: 0.000
DFT total energy, eV/atom: -6.38
Space-group type: C2/c (15)

Geometry as POSCAR:
```
LiVAs2O6
1.0
-2.9134 3.7892 -1.7516
-7.2581 -1.2737 3.9853
3.1788 6.7057 3.8876
O As Li V
12 4 2 2
Direct
0.9891 0.6895 0.6136 O
0.8464 0.2731 0.9321 O
0.1536 0.7269 0.0679 O
0.1299 0.9406 0.8333 O
0.0109 0.3105 0.3864 O
0.4891 0.6136 0.6895 O
0.5109 0.3864 0.3105 O
0.8701 0.0594 0.1667 O
0.6299 0.8333 0.9406 O
0.3701 0.1667 0.0594 O
0.6536 0.0679 0.7269 O
0.3464 0.9321 0.2731 O
0.7203 0.2213 0.3793 As
0.2203 0.3793 0.2213 As
0.2797 0.7787 0.6207 As
0.7797 0.6207 0.7787 As
0.7500 0.8427 0.1573 Li
0.2500 0.1573 0.8427 Li
0.2500 0.9072 0.0928 V
0.7500 0.0928 0.9072 V
```